No. 1
# TiPCl9, single point on PBEsol structure, DFT SCAN
data_TiPCl9
_chemical_formula_sum 'Ti2 P2 Cl18'
_symmetry_space_group_name_H-M 'P -1'
_symmetry_Int_Tables_number 2
_symmetry_space_group_name_Hall '-P 1'
_cell_length_a 6.983
_cell_length_b 9.007
_cell_length_c 9.426
_cell_angle_alpha 101.00
_cell_angle_beta 96.99
_cell_angle_gamma 94.13
loop_
_atom_site_label
_atom_site_fract_x
_atom_site_fract_y
_atom_site_fract_z
_atom_site_occupancy
Ti1 0.121 0.141 0.172 1
P1 0.452 0.312 0.721 1
Cl1 0.006 0.719 0.641 1
Cl2 0.083 0.327 0.040 1
Cl3 0.130 0.937 0.289 1
Cl4 0.204 0.976 0.950 1
Cl5 0.255 0.456 0.735 1
Cl6 0.332 0.601 0.361 1
Cl7 0.338 0.124 0.591 1
Cl8 0.439 0.210 0.243 1
Cl9 0.454 0.724 0.087 1
# Formation energy without anion corrections   -1.193 eV per atom
# Calculated density   2.30 g cm⁻³
# Uncorrected energy   -10.1235 eV/atom

=====

No. 2
# Nd2AgIr, single point on PBEsol structure, DFT SCAN
data_Nd2AgIr
_chemical_formula_sum 'Nd8 Ag4 Ir4'
_symmetry_space_group_name_H-M 'F m -3 m'
_symmetry_Int_Tables_number 225
_symmetry_space_group_name_Hall '-F 4 2 3'
_cell_length_a 7.136
_cell_length_b 7.136
_cell_length_c 7.136
_cell_angle_alpha 90.00
_cell_angle_beta 90.00
_cell_angle_gamma 90.00
loop_
_atom_site_label
_atom_site_fract_x
_atom_site_fract_y
_atom_site_fract_z
_atom_site_occupancy
Nd1 0.250 0.250 0.250 1
Ag1 0.000 0.000 0.000 1
Ir1 0.000 0.000 0.500 1
# Calculated density   10.76 g cm⁻³
# Uncorrected energy   -47.9748 eV/atom
# E_form   -0.567 eV per atom

=====

No. 3
# SrTe2Cl, single point on PBEsol structure, DFT SCAN
data_SrTe2Cl
_chemical_formula_sum 'Sr2 Te4 Cl2'
_symmetry_space_group_name_H-M 'I m m 2'
_symmetry_Int_Tables_number 44
_symmetry_space_group_name_Hall 'I 2 -2'
_cell_length_a 5.062
_cell_length_b 6.587
_cell_length_c 7.722
_cell_angle_alpha 90.00
_cell_angle_beta 90.00
_cell_angle_gamma 90.00
loop_
_atom_site_label
_atom_site_fract_x
_atom_site_fract_y
_atom_site_fract_z
_atom_site_occupancy
Sr1 0.000 0.000 0.000 1
Te1 0.000 0.000 0.481 1
Te2 0.000 0.500 0.145 1
Cl1 0.000 0.500 0.669 1
# Formation energy without anion corrections   -1.230 eV per atom
# Calculated density   4.88 g cm⁻³
# Uncorrected energy   -27.4184 eV/atom

=====

No. 4
# SrCa2Be, single point on PBEsol structure, DFT SCAN
data_SrCa2Be
_chemical_formula_sum 'Sr4 Ca8 Be4'
_symmetry_space_group_name_H-M 'I -4 2 d'
_symmetry_Int_Tables_number 122
_symmetry_space_group_name_Hall 'I -4 2bw'
_cell_length_a 9.186
_cell_length_b 9.186
_cell_length_c 6.661
_cell_angle_alpha 90.00
_cell_angle_beta 90.00
_cell_angle_gamma 90.00
loop_
_atom_site_label
_atom_site_fract_x
_atom_site_fract_y
_atom_site_fract_z
_atom_site_occupancy
Sr1 0.000 0.000 0.000 1
Ca1 0.161 0.750 0.625 1
Be1 0.000 0.000 0.500 1
# Calculated density   2.09 g cm⁻³
# Uncorrected energy   -11.0886 eV/atom
# E_form   0.400 eV per atom

=====

No. 5
# UReB4, single point on PBEsol structure, DFT SCAN
data_UReB4
_chemical_formula_sum 'U4 Re4 B16'
_symmetry_space_group_name_H-M 'P b a m'
_symmetry_Int_Tables_number 55
_symmetry_space_group_name_Hall '-P 2 2ab'
_cell_length_a 5.895
_cell_length_b 11.454
_cell_length_c 3.566
_cell_angle_alpha 90.00
_cell_angle_beta 90.00
_cell_angle_gamma 90.00
loop_
_atom_site_label
_atom_site_fract_x
_atom_site_fract_y
_atom_site_fract_z
_atom_site_occupancy
U1 0.128 0.150 0.000 1
Re1 0.140 0.406 0.000 1
B1 0.027 0.693 0.500 1
B2 0.116 0.547 0.500 1
B3 0.132 0.968 0.500 1
B4 0.210 0.811 0.500 1
# Calculated density   12.89 g cm⁻³
# Uncorrected energy   -34.5453 eV/atom
# E_form   -0.488 eV per atom

=====

No. 6
# H3WN, single point on PBEsol structure, DFT SCAN
data_H3WN
_chemical_formula_sum 'H3 W1 N1'
_symmetry_space_group_name_H-M 'P m -3 m'
_symmetry_Int_Tables_number 221
_symmetry_space_group_name_Hall '-P 4 2 3'
_cell_length_a 3.358
_cell_length_b 3.358
_cell_length_c 3.358
_cell_angle_alpha 90.00
_cell_angle_beta 90.00
_cell_angle_gamma 90.00
loop_
_atom_site_label
_atom_site_fract_x
_atom_site_fract_y
_atom_site_fract_z
_atom_site_occupancy
H1 0.000 0.000 0.500 1
W1 0.000 0.000 0.000 1
N1 0.500 0.500 0.500 1
# Calculated density   8.81 g cm⁻³
# Uncorrected energy   -16.4230 eV/atom

=====

No. 7
# CoRuCl2, single point on PBEsol structure, DFT SCAN
data_CoRuCl2
_chemical_formula_sum 'Co2 Ru2 Cl4'
_symmetry_space_group_name_H-M 'C 1 2/m 1'
_symmetry_Int_Tables_number 12
_symmetry_space_group_name_Hall '-C 2y'
_cell_length_a 5.784
_cell_length_b 7.627
_cell_length_c 3.071
_cell_angle_alpha 90.00
_cell_angle_beta 117.24
_cell_angle_gamma 90.00
loop_
_atom_site_label
_atom_site_fract_x
_atom_site_fract_y
_atom_site_fract_z
_atom_site_occupancy
Co1 0.000 0.000 0.000 1
Ru1 0.000 0.500 0.000 1
Cl1 0.250 0.250 0.000 1
# Formation energy without anion corrections   0.415 eV per atom
# Calculated density   6.37 g cm⁻³
# Uncorrected energy   -16.6061 eV/atom

=====

No. 8
# NbO2F, single point on PBEsol structure, DFT SCAN
data_NbO2F
_chemical_formula_sum 'Nb4 O8 F4'
_symmetry_space_group_name_H-M 'A m m 2'
_symmetry_Int_Tables_number 38
_symmetry_space_group_name_Hall 'A 2 -2'
_cell_length_a 3.963
_cell_length_b 7.729
_cell_length_c 8.071
_cell_angle_alpha 90.00
_cell_angle_beta 90.00
_cell_angle_gamma 90.00
loop_
_atom_site_label
_atom_site_fract_x
_atom_site_fract_y
_atom_site_fract_z
_atom_site_occupancy
Nb1 0.000 0.000 0.000 1
Nb2 0.000 0.000 0.475 1
O1 0.000 0.000 0.249 1
O2 0.000 0.245 0.505 1
O3 0.500 0.000 0.992 1
F1 0.000 0.000 0.746 1
F2 0.500 0.000 0.512 1
# Formation energy without anion corrections   -2.807 eV per atom
# Calculated density   3.87 g cm⁻³
# Uncorrected energy   -15.0902 eV/atom

=====

No. 9
# Sr2LiAsP, single point on PBEsol structure, DFT SCAN
data_Sr2LiAsP
_chemical_formula_sum 'Sr2 Li1 As1 P1'
_symmetry_space_group_name_H-M 'P 4/m m m'
_symmetry_Int_Tables_number 123
_symmetry_space_group_name_Hall '-P 4 2'
_cell_length_a 5.721
_cell_length_b 5.721
_cell_length_c 4.434
_cell_angle_alpha 90.00
_cell_angle_beta 90.00
_cell_angle_gamma 90.00
loop_
_atom_site_label
_atom_site_fract_x
_atom_site_fract_y
_atom_site_fract_z
_atom_site_occupancy
Sr1 0.000 0.500 0.000 1
Li1 0.000 0.000 0.500 1
As1 0.500 0.500 0.500 1
P1 0.000 0.000 0.000 1
# Calculated density   3.30 g cm⁻³
# Uncorrected energy   -16.3083 eV/atom
# E_form   -0.802 eV per atom

=====

No. 10
# RuPt, single point on PBEsol structure, DFT SCAN
data_RuPt
_chemical_formula_sum 'Ru4 Pt4'
_symmetry_space_group_name_H-M 'C 1 2/m 1'
_symmetry_Int_Tables_number 12
_symmetry_space_group_name_Hall '-C 2y'
_cell_length_a 9.017
_cell_length_b 2.696
_cell_length_c 4.706
_cell_angle_alpha 90.00
_cell_angle_beta 99.80
_cell_angle_gamma 90.00
loop_
_atom_site_label
_atom_site_fract_x
_atom_site_fract_y
_atom_site_fract_z
_atom_site_occupancy
Ru1 0.129 0.000 0.385 1
Pt1 0.122 0.500 0.872 1
# Calculated density   17.45 g cm⁻³
# Uncorrected energy   -52.5166 eV/atom
# E_form   -0.007 eV per atom

=====

No. 11
# Sr2Li2Au, single point on PBEsol structure, DFT SCAN
data_Sr2Li2Au
_chemical_formula_sum 'Sr4 Li4 Au2'
_symmetry_space_group_name_H-M 'I 4/m m m'
_symmetry_Int_Tables_number 139
_symmetry_space_group_name_Hall '-I 4 2'
_cell_length_a 3.867
_cell_length_b 3.867
_cell_length_c 19.254
_cell_angle_alpha 90.00
_cell_angle_beta 90.00
_cell_angle_gamma 90.00
loop_
_atom_site_label
_atom_site_fract_x
_atom_site_fract_y
_atom_site_fract_z
_atom_site_occupancy
Sr1 0.000 0.000 0.092 1
Li1 0.000 0.500 0.250 1
Au1 0.000 0.000 0.500 1
# Calculated density   4.45 g cm⁻³
# Uncorrected energy   -24.0343 eV/atom
# E_form   -0.337 eV per atom

=====

No. 12
# Zr2BeAu, single point on PBEsol structure, DFT SCAN
data_Zr2BeAu
_chemical_formula_sum 'Zr4 Be2 Au2'
_symmetry_space_group_name_H-M 'I -4 m 2'
_symmetry_Int_Tables_number 119
_symmetry_space_group_name_Hall 'I -4 -2'
_cell_length_a 3.955
_cell_length_b 3.955
_cell_length_c 8.920
_cell_angle_alpha 90.00
_cell_angle_beta 90.00
_cell_angle_gamma 90.00
loop_
_atom_site_label
_atom_site_fract_x
_atom_site_fract_y
_atom_site_fract_z
_atom_site_occupancy
Zr1 0.000 0.000 0.000 1
Zr2 0.000 0.500 0.250 1
Be1 0.000 0.500 0.750 1
Au1 0.000 0.000 0.500 1
# Calculated density   9.24 g cm⁻³
# Uncorrected energy   -33.9851 eV/atom
# E_form   -0.258 eV per atom

=====

Listing magnetic moment for the structures above in their given order: 0.0, 0.0, 0.0, 0.0, 0.0, 0.0, 3.7, 0.0, 0.0, 0.0, 0.0, 0.0 μB/f.u..